No. 1
Cs2YHfGe | GGA-PBE | optimized geometry

```
Cs2YHfGe
1.0
-3.490 5.729 1.895
-4.270 -3.157 1.683
2.805 -0.398 6.369
Y Ge Hf Cs
1 1 1 2
Direct
0.000 0.500 0.000
0.000 0.000 0.000
0.500 0.500 0.500
0.000 0.000 0.500
0.500 0.000 0.000
```

As for the space-group type: No. 123. The value obtained for the formation energy is 1.213 eV per atom.

=====

No. 2
Cs2HgGe2 | GGA-PBE | optimized geometry

```
Cs2HgGe2
1.0
-7.443 5.223 2.550
-2.713 -6.786 5.980
2.874 2.226 3.829
Ge Cs Hg
4 4 2
Direct
0.585 0.085 0.000
0.915 0.585 0.000
0.085 0.415 0.000
0.415 0.915 0.000
0.297 0.203 0.500
0.203 0.703 0.500
0.797 0.297 0.500
0.703 0.797 0.500
0.500 0.500 0.000
0.000 0.000 0.000
```

As for the space-group type: No. 127. The value obtained for the formation energy is -0.032 eV per atom. The relative energy among the computed polymorphs comes out at 0.00 kcal/mol of atoms.

=====

No. 3
CsHg2Ge | GGA-PBE | optimized geometry

```
CsHg2Ge
1.0
-2.613 -3.827 1.737
1.230 -4.620 -1.278
3.639 -3.197 5.478
Hg Cs Ge
2 1 1
Direct
0.796 0.796 0.611
0.204 0.204 0.389
0.000 0.000 0.000
0.500 0.500 0.500
```

As for the space-group type: No. 166. The value obtained for the formation energy is -0.052 eV per atom.

=====

No. 4
Cs2Hg2Ge | GGA-PBE | optimized geometry

```
Cs2Hg2Ge
1.0
-4.887 -5.580 -1.121
5.690 -4.753 -1.147
0.481 -6.054 2.940
Cs Hg Ge
2 2 1
Direct
0.250 0.750 0.500
0.750 0.250 0.500
0.677 0.677 0.646
0.323 0.323 0.354
0.000 0.000 0.000
```

As for the space-group type: No. 139. The value obtained for the formation energy is -0.013 eV per atom. The relative energy among the computed polymorphs comes out at 0.53 kcal/mol of atoms.

=====

No. 5
Cs2HgGe2 | GGA-PBE | optimized geometry

```
Cs2HgGe2
1.0
-1.942 1.942 12.235
1.942 -1.942 12.235
1.942 1.942 -12.235
Cs Ge Hg
2 2 1
Direct
0.383 0.383 0.000
0.617 0.617 0.000
0.750 0.250 0.500
0.250 0.750 0.500
0.000 0.000 0.000
```

As for the space-group type: No. 139. The value obtained for the formation energy is 0.073 eV per atom. The relative energy among the computed polymorphs comes out at 2.41 kcal/mol of atoms.

=====

No. 6
Cs2Hg5Ge | GGA-PBE | optimized geometry

```
Cs2Hg5Ge
1.0
-2.603 4.592 4.852
-3.735 -5.318 3.031
7.809 -0.831 -0.322
Ge Hg Cs
1 5 2
Direct
0.976 0.976 0.952
0.291 0.737 0.027
0.290 0.290 0.027
0.708 0.708 0.415
0.737 0.291 0.027
0.737 0.737 0.027
0.769 0.269 0.539
0.270 0.769 0.539
```

As for the space-group type: No. 107. The value obtained for the formation energy is -0.105 eV per atom.

=====

No. 7
CsHgGe | GGA-PBE | optimized geometry

```
CsHgGe
1.0
-2.662 2.962 1.550
-6.245 -0.255 -10.240
-1.827 -6.310 8.922
Hg Ge Cs
4 4 4
Direct
0.749 0.719 0.388
0.751 0.219 0.388
0.251 0.281 0.612
0.249 0.781 0.612
0.250 0.973 0.928
0.750 0.527 0.072
0.250 0.473 0.928
0.750 0.027 0.072
0.250 0.878 0.233
0.750 0.122 0.767
0.750 0.622 0.767
0.250 0.378 0.233
```

As for the space-group type: No. 14. The value obtained for the formation energy is -0.144 eV per atom. The relative energy among the computed polymorphs comes out at 0.00 kcal/mol of atoms.

=====

No. 8
Cs2Hg2Ge | GGA-PBE | optimized geometry

```
Cs2Hg2Ge
1.0
-2.042 -7.668 8.589
-4.710 -2.353 10.441
0.721 4.162 -10.904
Hg Cs Ge
2 2 1
Direct
0.750 0.250 0.500
0.250 0.750 0.500
0.599 0.599 0.000
0.401 0.401 0.000
0.000 0.000 0.000
```

As for the space-group type: No. 139. The value obtained for the formation energy is 0.070 eV per atom. The relative energy among the computed polymorphs comes out at 2.44 kcal/mol of atoms.

=====

No. 9
CsHgGe | GGA-PBE | optimized geometry

```
CsHgGe
1.0
6.062 0.000 0.000
0.000 4.669 0.000
0.000 -2.335 4.044
Hg Ge Cs
1 1 1
Direct
0.166 0.333 0.667
0.167 0.000 0.000
0.667 0.667 0.333
```

As for the space-group type: No. 187. The value obtained for the formation energy is -0.050 eV per atom. The relative energy among the computed polymorphs comes out at 2.16 kcal/mol of atoms.

=====

No. 10
Cs2HgGe2 | GGA-PBE | optimized geometry

```
Cs2HgGe2
1.0
6.956 0.000 0.000
0.000 6.956 0.000
3.478 3.478 5.107
Cs Ge Hg
2 2 1
Direct
0.750 0.250 0.500
0.250 0.750 0.500
0.610 0.610 0.781
0.390 0.390 0.219
0.000 0.000 0.000
```

As for the space-group type: No. 139. The value obtained for the formation energy is -0.031 eV per atom. The relative energy among the computed polymorphs comes out at 0.02 kcal/mol of atoms.

=====

No. 11
Cs2Hg2Ge | GGA-PBE | optimized geometry

```
Cs2Hg2Ge
1.0
7.898 0.000 0.000
0.000 7.898 0.000
0.000 0.000 6.120
Hg Cs Ge
4 4 2
Direct
0.348 0.848 0.000
0.152 0.348 0.000
0.848 0.652 0.000
0.652 0.152 0.000
0.325 0.175 0.500
0.825 0.325 0.500
0.175 0.675 0.500
0.675 0.825 0.500
0.500 0.500 0.000
0.000 0.000 0.000
```

As for the space-group type: No. 127. The value obtained for the formation energy is -0.036 eV per atom. The relative energy among the computed polymorphs comes out at 0.00 kcal/mol of atoms.

=====

No. 12
CsHg2Ge | GGA-PBE | optimized geometry

```
CsHg2Ge
1.0
-5.411 1.291 2.859
2.375 -2.038 5.415
1.360 7.731 5.924
Hg Cs Ge
4 2 2
Direct
0.875 0.625 0.750
0.375 0.625 0.750
0.375 0.125 0.250
0.375 0.625 0.250
0.000 0.000 0.000
0.750 0.250 0.500
0.500 0.500 0.000
0.250 0.750 0.500
```

As for the space-group type: No. 141. The value obtained for the formation energy is -0.052 eV per atom.

=====

These records have M_tot values of 3.2; 0.0; 0.0; 0.6; 0.0; 0.0; 0.0; 0.8; 0.4; 0.0; 0.0; 0.0 μB per formula unit, in the order they appear.
These records have energy values of -0.2451; -0.1676; -0.1154; -0.1028; -0.1599; -0.0797; -0.1520; -0.0967; -0.1451; -0.1676; -0.1045; -0.1154 Ry/atom, in the order they appear.